## MnIrOs2 (PBE)

Data for a relaxed structure of MnIrOs2.

a = 4.5167 Å, b = 4.5167 Å, c = 2.8138 Å
α = 90.00°, β = 90.00°, γ = 90.00°
Space group P4/mmm (No. 123)
Inequivalent atoms, fractional coordinates:
1 Mn 0.0000 0.0000 0.0000 [1 per cell]
2 Ir 0.5000 0.5000 0.0000 [1 per cell]
3 Os 0.0000 0.5000 0.5000 [2 per cell]

E = -0.3576 Ha/atom
energy relative to the elements = 38 kJ/mol of atoms
crystal system = tetragonal
offset from the most stable computed form = 396.1 meV/atom